## Ac5PmHg6 (PBE)

Data for a geometry-optimized Ac5PmHg6 structure.

Cell: 5.6544 17.0308 8.0244 Å, 90.00 90.00 90.00°
Space group Cmmm (No. 65)
Symmetry-distinct sites (fractional):
Ac 0.0000 0.0000 0.0000 (multiplicity 2)
Ac 0.0000 0.3317 0.0000 (multiplicity 4)
Ac 0.0000 0.3339 0.5000 (multiplicity 4)
Pm 0.0000 0.0000 0.5000 (multiplicity 2)
Hg 0.0000 0.1614 0.2560 (multiplicity 8)
Hg 0.0000 0.5000 0.2608 (multiplicity 4)

* mass density: 10.674 Mg/m³
* ΔH_f (0 K): -45 kJ/mol of atoms
* DFT total energy: -65.364 eV per cell